This record from the Alexandria database describes an optimized crystal structure of NiPtN2F. The functional is PBE+U.

The structure in CIF format:
```
data_NiPtN2F
_chemical_formula_sum 'Ni1 Pt1 N2 F1'
_space_group_name_H-M_alt 'P 1'
_space_group_IT_number 1
_cell_length_a 3.691
_cell_length_b 3.691
_cell_length_c 6.001
_cell_angle_alpha 90.00
_cell_angle_beta 90.00
_cell_angle_gamma 90.00
loop_
_space_group_symop_operation_xyz
'x,y,z'
loop_
_atom_site_label
_atom_site_type_symbol
_atom_site_fract_x
_atom_site_fract_y
_atom_site_fract_z
_atom_site_occupancy
Ni1 Ni 0.500 0.500 0.500 1
N1 N 0.000 0.500 0.000 1
N2 N 0.500 0.000 0.000 1
Pt1 Pt 0.000 0.000 0.000 1
F1 F 0.000 0.000 0.500 1
```

The distance to the lowest polymorph of the same formula is 0 meV/atom. As for the symmetry: P4/mmm (123). As for the crystal system: tetragonal. For the density of states at the Fermi level, the calculation gives 3.38 states/eV/f.u.